# 1
PBE-GGA ReTc2Ni, optimized geometry; energy relative to the lowest polymorph listed for this composition = 58.9 kJ/mol of formula units; D(E_F) = 1.1330 states/eV/atom
1.0
-3.1024 2.2746 1.9083
-1.9472 3.1820 -2.1268
-4.0785 -0.4456 -1.2678
Re Tc Ni
1 2 1
Cartesian
-4.5640 2.5055 -0.7432 Re
-2.2820 1.2528 -0.3716 Tc
-6.8460 3.7583 -1.1147 Tc
0.0000 0.0000 0.0000 Ni

=====

# 2
PBE-GGA ReTc2Ni2, optimized geometry; electronic total energy = -8.7620 eV/atom; D(E_F) = 0.9317 states/eV/atom
1.0
-5.1791 -0.1745 4.5048
-0.7425 -6.7345 -1.1145
1.8130 -0.5414 2.0634
Re Tc Ni
2 4 4
Cartesian
0.0000 0.0000 0.0000 Re
-2.9608 -3.4545 1.6952 Re
-0.5092 -4.8565 1.0724 Tc
-3.2080 -5.9354 3.1608 Tc
-3.5994 -2.5939 4.3813 Tc
-0.9005 -1.5150 2.2930 Tc
-2.6162 -5.9866 0.7281 Ni
-5.0141 -4.3347 3.2683 Ni
-3.3053 -0.9224 2.6622 Ni
-0.9075 -2.5743 0.1220 Ni

=====

# 3
PBE-GGA Re2TcNi, optimized geometry; energy relative to the lowest polymorph listed for this composition = 31.9 kJ/mol of formula units; D(E_F) = 1.1342 states/eV/atom
1.0
2.6980 0.0163 0.0000
-0.0168 2.6980 0.0000
0.0000 0.0000 7.6681
Ni Re Tc
1 2 1
Cartesian
1.3406 1.3571 5.7511 Ni
0.0000 0.0000 7.6057 Re
0.0000 0.0000 3.8964 Re
1.3406 1.3571 1.9170 Tc

=====

# 4
PBE-GGA ReTc2Ni, optimized geometry; energy relative to the lowest polymorph listed for this composition = 31.1 kJ/mol of formula units; D(E_F) = 0.7796 states/eV/atom
1.0
-6.1691 -4.7245 -4.2968
-5.8793 -6.3113 -2.1078
-7.5664 -4.1803 -2.0285
Ni Re Tc
1 1 2
Cartesian
-14.7111 -11.4120 -6.3249 Ni
-4.9037 -3.8040 -2.1083 Re
-0.0447 -0.0346 -0.0192 Tc
-9.7627 -7.5733 -4.1974 Tc

=====

# 5
PBE-GGA Re2TcNi, optimized geometry; energy relative to the lowest polymorph listed for this composition = 7.9 kJ/mol of formula units; D(E_F) = 0.7825 states/eV/atom
1.0
4.6692 -0.0017 0.0046
1.5360 4.4094 -0.0046
-3.1049 -2.2007 2.7053
Ni Re Tc
1 2 1
Cartesian
0.7669 2.2063 1.3504 Ni
6.2050 4.4075 0.0000 Re
3.1028 2.2039 0.0000 Re
2.3335 0.0007 1.3550 Tc

=====

# 6
PBE-GGA Re2TcNi, optimized geometry; energy relative to the lowest polymorph listed for this composition = 0.0 kJ/mol of formula units; D(E_F) = 0.6959 states/eV/atom
1.0
3.8275 0.0000 0.0000
0.0000 3.8087 0.0000
0.0000 0.0000 3.8087
Ni Re Tc
1 2 1
Cartesian
1.9138 0.0000 1.9044 Ni
0.0000 0.0000 0.0000 Re
0.0000 1.9044 1.9044 Re
1.9138 1.9044 0.0000 Tc

=====

# 7
PBE-GGA ReTcNi2, optimized geometry; energy relative to the lowest polymorph listed for this composition = 12.4 kJ/mol of formula units; D(E_F) = 1.0068 states/eV/atom
1.0
-3.0645 0.1903 3.3394
-3.5798 -2.5308 -1.1658
4.4337 -0.9320 0.0558
Re Tc Ni
1 1 2
Cartesian
-3.3219 -1.1691 1.0887 Re
-1.2343 -2.3175 -0.0132 Tc
-3.0647 0.1892 3.3377 Ni
-0.9762 -0.9551 2.2425 Ni

=====

# 8
PBE-GGA Re2TcNi, optimized geometry; energy relative to the lowest polymorph listed for this composition = 18.2 kJ/mol of formula units; D(E_F) = 0.7305 states/eV/atom
1.0
-0.9442 2.3308 -1.0480
0.2907 0.5142 -2.6596
-7.9181 -2.8825 -2.8183
Re Tc Ni
2 1 1
Cartesian
-6.0503 -1.9532 -2.4345 Re
-2.0903 0.0168 -1.6207 Re
-4.2567 -0.0042 -3.2570 Tc
-0.4601 1.8845 -2.4767 Ni

=====

These records have magnetization values of 0.0, 0.0, 0.0, 0.0, 0.0, 0.0, 0.0, 0.0 μB per cell, in the order they appear.